BeAsBr: relaxed, PBE-GGA.

The calculation puts the total magnetic moment at 0.00 μB/f.u. For the uncorrected formation energy, the calculation gives 0.18 eV per atom. The value obtained for the volume is 126.6 Å³ per cell. The calculated total energy is -19.0 eV/cell. The calculation puts the energy relative to the lowest polymorph listed for this composition at 0.733 eV per atom.

It has space group Imm2 (No. 44), with a = 3.254 Å, b = 3.533 Å, c = 11.009 Å, α = 90.00°, β = 90.00° and γ = 90.00°. The inequivalent atoms are Be at (0.000, 0.000, 0.000), As at (0.000, 0.000, 0.551) and Br at (0.000, 0.000, 0.802).

---

Be3AsBr: relaxed, PBE-GGA.

The calculation puts the total magnetic moment at 0.00 μB/f.u. For the uncorrected formation energy, the calculation gives 0.74 eV per atom. The value obtained for the volume is 89.1 Å³ per cell. The calculated total energy is -13.8 eV/cell. The calculation puts the energy relative to the lowest polymorph listed for this composition at 0.000 eV per atom.

It has space group Pm-3m (No. 221), with a = 4.466 Å, b = 4.466 Å, c = 4.466 Å, α = 90.00°, β = 90.00° and γ = 90.00°. The inequivalent atoms are Be at (0.000, 0.000, 0.500), As at (0.000, 0.000, 0.000) and Br at (0.500, 0.500, 0.500).

---

BeAs2Br: relaxed, PBE-GGA.

The calculation puts the total magnetic moment at 0.00 μB/f.u. For the uncorrected formation energy, the calculation gives 0.86 eV per atom. The value obtained for the volume is 300.9 Å³ per cell. The calculated total energy is -45.0 eV/cell. The calculation puts the energy relative to the lowest polymorph listed for this composition at 0.944 eV per atom.

It has space group Fm-3m (No. 225), with a = 6.701 Å, b = 6.701 Å, c = 6.701 Å, α = 90.00°, β = 90.00° and γ = 90.00°. The inequivalent atoms are Be at (0.000, 0.000, 0.000), As at (0.250, 0.250, 0.250) and Br at (0.000, 0.000, 0.500).

---

BeAsBr2: relaxed, PBE-GGA.

The calculation puts the total magnetic moment at 0.00 μB/f.u. For the uncorrected formation energy, the calculation gives 0.02 eV per atom. The value obtained for the volume is 208.6 Å³ per cell. The calculated total energy is -23.3 eV/cell. The calculation puts the energy relative to the lowest polymorph listed for this composition at 0.259 eV per atom.

It has space group Cmm2 (No. 35), with a = 3.386 Å, b = 6.937 Å, c = 8.881 Å, α = 90.00°, β = 90.00° and γ = 90.00°. The inequivalent atoms are Be at (0.000, 0.000, 0.000), As at (0.000, 0.500, 0.815), Br at (0.000, 0.000, 0.585) and Br at (0.000, 0.500, 0.162).

---

Q: Look up the energy relative to the lowest polymorph listed for this composition of the fourth one.
A: 0.259 eV per atom

---

Q: Number 4 is which compound?
A: BeAsBr2